{"formula": "Ho2GeBi", "functional": "PBE", "state": "optimized geometry", "mass_density_g_cm3": 9.5, "total_magnetization_mub_per_cell": 0.0, "space_group": "No. 63", "ef_ev_per_fu": -3.07, "dos_at_fermi_per_ev_fu": 1.5, "cell": [[-0.565, -0.357, 4.139], [-4.339, 0.397, -0.558], [1.254, -11.771, -0.843]], "species": ["Bi", "Ho", "Ge", "Ge", "Ho", "Ho", "Bi", "Ho"], "fractional_positions": [[0.750, 0.808, 0.617], [0.750, 0.671, 0.342], [0.250, 0.458, 0.916], [0.750, 0.542, 0.084], [0.250, 0.060, 0.119], [0.250, 0.329, 0.658], [0.250, 0.192, 0.383], [0.750, 0.940, 0.881]]}

{"formula": "VPd3Au", "functional": "PBE", "state": "optimized geometry", "mass_density_g_cm3": 12.2, "total_magnetization_mub_per_cell": 2.2, "space_group": "No. 2", "ef_ev_per_fu": -0.84, "dos_at_fermi_per_ev_fu": 4.8, "cell": [[4.622, 0.185, 1.426], [1.365, 4.622, 0.427], [0.264, 0.079, 7.384]], "species": ["Pd", "Au", "V", "Pd", "Pd", "Pd", "Pd", "V", "Pd", "Au"], "fractional_positions": [[0.954, 0.344, 0.810], [0.054, 0.844, 0.611], [0.560, 0.344, 0.599], [0.259, 0.845, 0.200], [0.754, 0.344, 0.209], [0.657, 0.844, 0.405], [0.152, 0.344, 0.414], [0.851, 0.845, 0.016], [0.457, 0.844, 0.805], [0.357, 0.345, 0.004]]}

{"formula": "NaBTe2N", "functional": "PBE", "state": "optimized geometry", "formation_energy_uncorrected_ev_per_fu": 10.7, "mass_density_g_cm3": 4.1, "total_magnetization_mub_per_cell": 0.6, "space_group": "No. 123", "dos_at_fermi_per_ev_fu": 5.3, "cell": [[5.473, 0.000, 0.000], [0.000, 5.473, 0.000], [0.000, 0.000, 4.122]], "species": ["Te", "B", "Na", "Te", "N"], "fractional_positions": [[0.500, 0.000, 0.000], [0.500, 0.500, 0.500], [0.000, 0.000, 0.000], [0.000, 0.500, 0.000], [0.000, 0.000, 0.500]]}